1.
The following is a DFT calculation (GGA-PBE) of a relaxed structure of LaDy5Y7.

- Final energy: -5.3955 eV/atom
- Formation energy: 0.234 eV per atom

Cell lengths 8.7517, 8.7517, 8.7517 Å; angles 135.16, 100.23, 96.51 degrees
Last column: nearest neighbours and their distance in Å.
Fractional positions:
La: 0.0000 0.0000 0.0000  7 Y 3.48-3.89, 4 Dy 3.81
Dy: 0.0336 0.0373 0.4667  2 Dy 3.14-3.40, 6 Y 3.14-3.52
Dy: 0.0336 0.5669 0.9963  2 Dy 3.14-3.40, 6 Y 3.14-3.52
Dy: 0.3107 0.8107 0.5000  6 Y 3.34-3.52, 4 Dy 3.40
Dy: 0.5706 0.0373 0.0037  2 Dy 3.14-3.40, 6 Y 3.14-3.52
Dy: 0.5706 0.5669 0.5333  2 Dy 3.14-3.40, 6 Y 3.14-3.52
Y: 0.2232 0.5556 0.6676  5 Dy 3.46-3.52, 5 Y 3.54-3.79
Y: 0.2984 0.2984 0.0000  6 Dy 3.34-3.49, 1 La 3.48, 1 Y 3.63
Y: 0.3826 0.0543 0.3284  5 Dy 3.43-3.50, 3 Y 3.44-3.79, 1 La 3.74
Y: 0.6096 0.6096 0.0000  9 Y 3.63-4.00, 4 Dy 3.77
Y: 0.7259 0.0543 0.6716  5 Dy 3.43-3.50, 3 Y 3.44-3.79, 1 La 3.74
Y: 0.7988 0.2988 0.5000  4 Dy 3.14, 2 Y 3.44
Y: 0.8880 0.5556 0.3324  5 Dy 3.46-3.52, 5 Y 3.54-3.79

=====

2.
The following is a DFT calculation (GGA-PBE) of a relaxed structure of Re3As.

- Final energy: -10.2409 eV/atom
- Formation energy: 0.258 eV per atom
- Relative energy among the computed polymorphs: 100 meV per atom

Cell lengths 5.2059, 5.2059, 5.2059 Å; angles 146.88, 129.22, 61.98 degrees
Last column: nearest neighbours and their distance in Å.
Fractional positions:
Re: 0.0000 0.0000 0.0000  4 As 2.68, 10 Re 2.87-3.00
Re: 0.2756 0.7756 0.5000  2 As 2.49, 4 Re 2.72
Re: 0.7244 0.2244 0.5000  2 As 2.49, 4 Re 2.72
As: 0.5000 0.5000 0.0000  8 Re 2.49-2.68

=====

Question: final energy of number 2 (Re3As)?
Answer: -10.2409 eV/atom